MoIr3Se: relaxed, GGA-PBE.

Lattice parameters (Å, degrees): 4.568 4.568 4.568 90.00 90.00 90.00
Fractional coordinates of all 5 atoms:
Mo1 0.000 0.000 0.000
Ir1 0.000 0.500 0.500
Ir2 0.500 0.000 0.500
Ir3 0.500 0.500 0.000
Se1 0.500 0.500 0.500

E_form (uncorrected): 1.51 eV/atom
calculated density: 13.1 g cm⁻³
crystal system: cubic
uncorrected energy: -0.2452 hartree per atom

Mo2IrSe: relaxed, GGA-PBE.

Lattice parameters (Å, degrees): 5.356 5.356 5.356 147.95 130.08 60.56
Fractional coordinates of all 4 atoms:
Mo1 0.000 0.000 0.000
Mo2 0.715 0.215 0.500
Ir1 0.453 0.453 0.000
Se1 0.221 0.721 0.500

E_form (uncorrected): 0.11 eV/atom
calculated density: 12.4 g cm⁻³
crystal system: orthorhombic
uncorrected energy: -0.3086 hartree per atom

Mo2IrSe: relaxed, GGA-PBE.

Lattice parameters (Å, degrees): 2.920 4.052 5.364 90.00 90.00 90.00
Fractional coordinates of all 4 atoms:
Mo1 0.000 0.000 0.238
Mo2 0.000 0.000 0.762
Ir1 0.500 0.500 0.000
Se1 0.500 0.500 0.500

E_form (uncorrected): 0.25 eV/atom
calculated density: 12.1 g cm⁻³
crystal system: orthorhombic
uncorrected energy: -0.3033 hartree per atom

Mo2IrSe: relaxed, GGA-PBE.

Lattice parameters (Å, degrees): 4.941 4.941 2.884 90.00 90.00 116.53
Fractional coordinates of all 4 atoms:
Mo1 0.000 0.500 0.000
Mo2 0.500 0.000 0.000
Ir1 0.000 0.000 0.500
Se1 0.500 0.500 0.500

E_form (uncorrected): 0.29 eV/atom
calculated density: 12.2 g cm⁻³
crystal system: orthorhombic
uncorrected energy: -0.3017 hartree per atom

Mo2IrSe: relaxed, GGA-PBE.

Lattice parameters (Å, degrees): 2.873 4.107 5.483 90.00 105.11 90.00
Fractional coordinates of all 4 atoms:
Mo1 0.000 0.000 0.000
Mo2 0.358 0.500 0.720
Ir1 0.742 0.000 0.486
Se1 0.595 0.500 0.192

E_form (uncorrected): 0.14 eV/atom
calculated density: 12.3 g cm⁻³
crystal system: monoclinic
uncorrected energy: -0.3072 hartree per atom

Mo2IrSe: relaxed, GGA-PBE.

Lattice parameters (Å, degrees): 8.705 8.705 8.705 19.16 19.16 19.16
Fractional coordinates of all 4 atoms:
Mo1 0.248 0.248 0.248
Mo2 0.752 0.752 0.752
Ir1 0.000 0.000 0.000
Se1 0.500 0.500 0.500

E_form (uncorrected): 0.10 eV/atom
calculated density: 12.4 g cm⁻³
crystal system: trigonal
uncorrected energy: -0.3087 hartree per atom

Mo2IrSe: relaxed, GGA-PBE.

Lattice parameters (Å, degrees): 9.002 9.002 9.002 18.67 18.67 18.67
Fractional coordinates of all 4 atoms:
Mo1 0.000 0.000 0.000
Mo2 0.243 0.243 0.243
Ir1 0.743 0.743 0.743
Se1 0.506 0.506 0.506

E_form (uncorrected): 0.15 eV/atom
calculated density: 11.8 g cm⁻³
crystal system: trigonal
uncorrected energy: -0.3071 hartree per atom

Mo2IrSe: relaxed, GGA-PBE.

Lattice parameters (Å, degrees): 2.943 2.943 7.402 90.00 90.00 90.00
Fractional coordinates of all 4 atoms:
Mo1 0.000 0.000 0.000
Mo2 0.500 0.500 0.277
Ir1 0.500 0.500 0.773
Se1 0.000 0.000 0.488

E_form (uncorrected): 0.12 eV/atom
calculated density: 12.0 g cm⁻³
crystal system: tetragonal
uncorrected energy: -0.3081 hartree per atom

MoIrSe2: relaxed, GGA-PBE.

Lattice parameters (Å, degrees): 3.006 3.006 8.590 90.00 90.00 118.96
Fractional coordinates of all 4 atoms:
Mo1 0.000 0.000 0.000
Ir1 0.000 0.000 0.500
Se1 0.500 0.500 0.244
Se2 0.500 0.500 0.756

E_form (uncorrected): 0.68 eV/atom
calculated density: 10.9 g cm⁻³
crystal system: orthorhombic
uncorrected energy: -0.2198 hartree per atom

Mo2IrSe: relaxed, GGA-PBE.

Lattice parameters (Å, degrees): 4.479 4.479 4.479 60.00 60.00 60.00
Fractional coordinates of all 4 atoms:
Mo1 0.000 0.000 0.000
Mo2 0.250 0.250 0.250
Ir1 0.750 0.750 0.750
Se1 0.500 0.500 0.500

E_form (uncorrected): 0.48 eV/atom
calculated density: 12.1 g cm⁻³
crystal system: cubic
uncorrected energy: -0.2947 hartree per atom

Mo2IrSe: relaxed, GGA-PBE.

Lattice parameters (Å, degrees): 6.874 6.874 6.874 131.09 131.09 71.66
Fractional coordinates of all 8 atoms:
Mo1 0.116 0.625 0.991
Mo2 0.375 0.366 0.491
Mo3 0.634 0.125 0.009
Mo4 0.875 0.884 0.509
Ir1 0.000 0.000 0.000
Ir2 0.750 0.250 0.500
Se1 0.250 0.750 0.500
Se2 0.500 0.500 0.000

E_form (uncorrected): 0.60 eV/atom
calculated density: 8.5 g cm⁻³
crystal system: tetragonal
uncorrected energy: -0.2904 hartree per atom

MoIrSe2: relaxed, GGA-PBE.

Lattice parameters (Å, degrees): 3.013 4.174 5.465 90.00 90.00 90.00
Fractional coordinates of all 4 atoms:
Mo1 0.000 0.000 0.000
Ir1 0.500 0.000 0.500
Se1 0.000 0.500 0.500
Se2 0.500 0.500 0.000

E_form (uncorrected): 0.58 eV/atom
calculated density: 10.8 g cm⁻³
crystal system: orthorhombic
uncorrected energy: -0.2235 hartree per atom